*one*
## CuWSe2 (PBE)

Data for a relaxed structure of CuWSe2.

Unit cell a=3.1620 b=3.1620 c=6.5025 alpha=90.00 beta=90.00 gamma=90.00
Sites, in units of the cell vectors:
Cu 0.0000 0.0000 0.0000
W 0.0000 0.0000 0.5000
Se 0.5000 0.5000 0.2638
Se 0.5000 0.5000 0.7362

Properties
crystal system = tetragonal
D(E_F) = 1.696 states/eV/cell
size of the total moment = 0.000 μB/f.u.
space group = P4/mmm (123)



*two*
## CuWSe2 (PBE)

Data for a relaxed structure of CuWSe2.

Unit cell a=8.0223 b=3.2638 c=5.4612 alpha=90.00 beta=94.60 gamma=90.00
Sites, in units of the cell vectors:
Cu 0.0000 0.0000 0.0000
Cu 0.5000 0.5000 0.0000
W 0.0000 0.5000 0.5000
W 0.5000 0.0000 0.5000
Se 0.2078 0.0000 0.7248
Se 0.2922 0.5000 0.2752
Se 0.7078 0.5000 0.7248
Se 0.7922 0.0000 0.2752

Properties
crystal system = monoclinic
D(E_F) = 5.699 states/eV/cell
size of the total moment = 0.000 μB/f.u.
space group = C2/m (12)



Most stable to least stable, the ends of the list are *one* and *two*.



*one*
## PmTmSc (PBE)

Data for a relaxed structure of PmTmSc.

Unit cell a=3.4864 b=3.4864 c=14.5824 alpha=90.00 beta=90.00 gamma=90.00
Sites, in units of the cell vectors:
Pm 0.0000 0.0000 0.0000
Pm 0.5000 0.5000 0.5000
Tm 0.0000 0.0000 0.6771
Tm 0.5000 0.5000 0.1771
Sc 0.0000 0.0000 0.3358
Sc 0.5000 0.5000 0.8358

Properties
crystal system = tetragonal
D(E_F) = 9.574 states/eV/cell
size of the total moment = 0.000 μB/f.u.
space group = I4mm (107)



*two*
## PmTmSc (PBE)

Data for a relaxed structure of PmTmSc.

Unit cell a=5.4449 b=5.4449 c=3.4164 alpha=90.00 beta=90.00 gamma=120.00
Sites, in units of the cell vectors:
Pm 0.0000 0.0000 0.0000
Tm 0.6667 0.3333 0.5000
Sc 0.3333 0.6667 0.0000

Properties
crystal system = hexagonal
D(E_F) = 5.402 states/eV/cell
size of the total moment = 0.001 μB/f.u.
space group = P-6m2 (187)



Most stable to least stable, the ends of the list are *one* and *two*.



*one*
## OsRhAu2 (PBE)

Data for a relaxed structure of OsRhAu2.

Unit cell a=2.7957 b=4.8091 c=9.7901 alpha=90.00 beta=90.00 gamma=90.00
Sites, in units of the cell vectors:
Os 0.0000 0.0000 0.0000
Os 0.5000 0.5000 0.5000
Rh 0.0000 0.5000 0.2833
Rh 0.5000 0.0000 0.7833
Au 0.0000 0.0000 0.5254
Au 0.0000 0.5000 0.7548
Au 0.5000 0.0000 0.2548
Au 0.5000 0.5000 0.0254

Properties
crystal system = orthorhombic
D(E_F) = 9.747 states/eV/cell
size of the total moment = 0.315 μB/f.u.
space group = Imm2 (44)



*two*
## OsRhAu2 (PBE)

Data for a relaxed structure of OsRhAu2.

Unit cell a=4.0019 b=4.0019 c=7.9511 alpha=90.00 beta=90.00 gamma=90.00
Sites, in units of the cell vectors:
Os 0.0000 0.0000 0.0000
Os 0.5000 0.5000 0.5000
Rh 0.0000 0.5000 0.7500
Rh 0.5000 0.0000 0.2500
Au 0.0000 0.0000 0.5000
Au 0.0000 0.5000 0.2500
Au 0.5000 0.0000 0.7500
Au 0.5000 0.5000 0.0000

Properties
crystal system = tetragonal
D(E_F) = 9.542 states/eV/cell
size of the total moment = 0.001 μB/f.u.
space group = I-4m2 (119)



Most stable to least stable, the ends of the list are *one* and *two*.



*one*
## TlCoCl2 (PBE)

Data for a relaxed structure of TlCoCl2.

Unit cell a=3.5274 b=3.5274 c=27.0889 alpha=90.00 beta=90.00 gamma=120.00
Sites, in units of the cell vectors:
Tl 0.0000 0.0000 0.0000
Tl 0.3333 0.6667 0.6667
Tl 0.6667 0.3333 0.3333
Co 0.0000 0.0000 0.5000
Co 0.3333 0.6667 0.1667
Co 0.6667 0.3333 0.8333
Cl 0.0000 0.0000 0.1164
Cl 0.0000 0.0000 0.8836
Cl 0.3333 0.6667 0.5502
Cl 0.3333 0.6667 0.7831
Cl 0.6667 0.3333 0.2169
Cl 0.6667 0.3333 0.4498

Properties
crystal system = trigonal
D(E_F) = 39.472 states/eV/cell
size of the total moment = 2.650 μB/f.u.
space group = R-3m (166)



*two*
## TlCoCl2 (PBE)

Data for a relaxed structure of TlCoCl2.

Unit cell a=3.6637 b=6.3961 c=8.8560 alpha=90.00 beta=90.00 gamma=90.00
Sites, in units of the cell vectors:
Tl 0.0000 0.0000 0.0000
Tl 0.5000 0.5000 0.0000
Co 0.0000 0.5000 0.2428
Co 0.5000 0.0000 0.2428
Cl 0.0000 0.0000 0.3903
Cl 0.0000 0.5000 0.7778
Cl 0.5000 0.0000 0.7778
Cl 0.5000 0.5000 0.3903

Properties
crystal system = orthorhombic
D(E_F) = 7.884 states/eV/cell
size of the total moment = 2.055 μB/f.u.
space group = Cmm2 (35)



Most stable to least stable, the ends of the list are *one* and *two*.